VASP calculation (PBE) on a geometry-optimized BaNa2LiC structure.

Computed properties:
uncorrected energy = -2.5103 eV/atom
calculated formation energy = 0.629 eV per atom
volume = 149 Å³/cell
density of states at the Fermi level = 1.4 states/eV/f.u.

a b c (Å): 5.353 5.353 5.202
angles (deg): 90.00 90.00 90.00
Space group P4/mmm (No. 123)
Inequivalent atoms, fractional coordinates:
Ba 0.000 0.000 0.000 x1
Na 0.000 0.500 0.500 x2
Li 0.500 0.500 0.000 x1
C 0.000 0.000 0.500 x1



VASP calculation (PBE) on a geometry-optimized BaLiNb2C structure.

Computed properties:
uncorrected energy = -3.7365 eV/atom
calculated formation energy = 2.903 eV per atom
volume = 138 Å³/cell
density of states at the Fermi level = 6.4 states/eV/f.u.

a b c (Å): 5.434 5.434 4.663
angles (deg): 90.00 90.00 90.00
Space group P4/mmm (No. 123)
Inequivalent atoms, fractional coordinates:
Ba 0.000 0.000 0.000 x1
Li 0.500 0.500 0.500 x1
Nb 0.000 0.500 0.000 x2
C 0.000 0.000 0.500 x1



VASP calculation (PBE) on a geometry-optimized Ba2LiNiC structure.

Computed properties:
uncorrected energy = -3.9880 eV/atom
calculated formation energy = 0.165 eV per atom
volume = 132 Å³/cell
density of states at the Fermi level = 3.7 states/eV/f.u.

a b c (Å): 5.979 5.979 3.686
angles (deg): 90.00 90.00 90.00
Space group P4/mmm (No. 123)
Inequivalent atoms, fractional coordinates:
Ba 0.000 0.500 0.000 x2
Li 0.000 0.000 0.500 x1
Ni 0.500 0.500 0.500 x1
C 0.500 0.500 0.000 x1



VASP calculation (PBE) on a geometry-optimized Ba2LiC2O6 structure.

Computed properties:
uncorrected energy = -6.8314 eV/atom
E_form (uncorrected) = -21.2 eV per formula unit
distance to the lowest polymorph of the same formula = 42.7 meV/atom
volume = 307 Å³/cell
density of states at the Fermi level = 2.1 states/eV/f.u.

a b c (Å): 10.211 5.229 6.570
angles (deg): 90.00 119.08 90.00
Space group C2/m (No. 12)
Inequivalent atoms, fractional coordinates:
Ba 0.207 0.000 0.202 x4
Li 0.000 0.000 0.500 x2
C 0.049 0.500 0.287 x4
O 0.025 0.280 0.753 x8
O 0.187 0.500 0.317 x4



Question: Among the records above, which one has the lowest uncorrected energy?
Answer: Ba2LiC2O6